Entry 1:
# LaIrC2

An optimized crystal structure of LaIrC2 (PBE-GGA, the Alexandria database).

Summary:
Total moment (μB/f.u.): 0.000
Calculated density (g cm⁻³): 10.9
DFT total energy (eV per atom): -7.040
V (A^3/atom): 13.5

abc: 4.245 4.245 4.245
angles: 60.00 60.00 60.00
Fractional coordinates of all 4 atoms:
C: 0.250 0.250 0.250
C: 0.750 0.750 0.750
Ir: 0.500 0.500 0.500
La: 0.000 0.000 0.000

Entry 2:
# Ta2InSi

An optimized crystal structure of Ta2InSi (PBE-GGA, the Alexandria database).

Summary:
Total moment (μB/f.u.): 0.000
Calculated density (g cm⁻³): 11.8
DFT total energy (eV per atom): -7.910
V (A^3/atom): 17.8
E_form (uncorrected) (meV/atom): 57

abc: 3.959 2.974 6.336
angles: 72.69 90.00 90.00
Fractional coordinates of all 4 atoms:
In: 0.500 0.250 0.250
Si: 0.500 0.750 0.750
Ta: 0.000 0.951 0.974
Ta: 0.000 0.549 0.526